(1)
Entry from Alexandria: an optimized crystal structure of PH2Pt (GGA-PBE).

Cell lengths 4.8936, 4.8936, 7.0599 Å; angles 90.00, 90.00, 90.00 degrees
Last column: nearest neighbours and their distance in Å.
Space group I-42d (No. 122)
Unique sites:
1 P 0.0000 0.0000 0.0000 x4  4 H 2.21
2 H 0.1710 0.2500 0.6250 x8  2 Pt 1.73
3 Pt 0.0000 0.0000 0.5000 x4  4 H 1.73

Values from the calculation:
Spin magnetization in μB per formula unit: 0.0
ΔE to the lowest computed polymorph in kJ/mol of formula units: 0

=====

(2)
Entry from Alexandria: an optimized crystal structure of YTe2WC (GGA-PBE).

Cell lengths 5.7404, 5.7404, 4.1736 Å; angles 90.00, 90.00, 90.00 degrees
Last column: nearest neighbours and their distance in Å.
Space group P4/mmm (No. 123)
Unique sites:
1 Y 0.0000 0.0000 0.0000 x1  2 C 2.09
2 Te 0.0000 0.5000 0.0000 x2  2 Y 2.87
3 W 0.5000 0.5000 0.5000 x1  8 Te 3.55
4 C 0.0000 0.0000 0.5000 x1  2 Y 2.09

Values from the calculation:
Spin magnetization in μB per formula unit: 0.5
Uncorrected formation energy in meV per atom: 1917

=====

(3)
Entry from Alexandria: an optimized crystal structure of Er2Al2Zn15 (GGA-PBE).

Cell lengths 9.0091, 9.0091, 13.0665 Å; angles 90.00, 90.00, 120.00 degrees
Last column: nearest neighbours and their distance in Å.
Space group R-3m (No. 166, hexagonal axes)
Unique sites:
1 Er 0.0000 0.0000 0.1635 x6  1 Al 3.09, 18 Zn 3.14-3.42
2 Al 0.0000 0.0000 0.4000 x6  1 Al 2.61, 6 Zn 2.74-2.88
3 Zn 0.0000 0.3038 0.5000 x18  8 Zn 2.58-2.74
4 Zn 0.0000 0.5000 0.0000 x9  8 Zn 2.58-2.65, 2 Al 2.74
5 Zn 0.0113 0.5056 0.6535 x18  8 Zn 2.54-2.74

Values from the calculation:
Spin magnetization in μB per formula unit: 0.0
Final energy in eV per cell: -119.1

=====

(4)
Entry from Alexandria: an optimized crystal structure of BaPb2Se2 (GGA-PBE).

Cell lengths 8.5455, 8.5455, 4.5115 Å; angles 90.00, 90.00, 90.00 degrees
Last column: nearest neighbours and their distance in Å.
Space group P4/mbm (No. 127)
Unique sites:
1 Ba 0.0000 0.0000 0.0000 x2  4 Se 3.22
2 Pb 0.1768 0.3232 0.5000 x4  2 Se 3.00
3 Se 0.1590 0.6590 0.0000 x4  2 Pb 3.00, 2 Ba 3.22

Values from the calculation:
Spin magnetization in μB per formula unit: 0.0
ΔE to the lowest computed polymorph in kJ/mol of formula units: 25
Uncorrected formation energy in meV per atom: -687

=====

(5)
Entry from Alexandria: an optimized crystal structure of CsGeI2 (GGA-PBE).

Cell lengths 8.6384, 8.6384, 8.6384 Å; angles 90.00, 90.00, 90.00 degrees
Last column: nearest neighbours and their distance in Å.
Space group Fm-3m (No. 225)
Unique sites:
1 Cs 0.0000 0.0000 0.0000 x4  8 I 3.74
2 Ge 0.0000 0.0000 0.5000 x4  8 I 3.74
3 I 0.2500 0.2500 0.2500 x8  4 Ge 3.74, 4 Cs 3.74

Values from the calculation:
Spin magnetization in μB per formula unit: 1.0
ΔE to the lowest computed polymorph in kJ/mol of formula units: 75
Uncorrected formation energy in meV per atom: -280

=====

(6)
Entry from Alexandria: an optimized crystal structure of GaNiPb2 (GGA-PBE).

Cell lengths 3.5103, 3.5103, 28.0049 Å; angles 90.00, 90.00, 120.00 degrees
Last column: nearest neighbours and their distance in Å.
Space group R-3m (No. 166, hexagonal axes)
Unique sites:
1 Ga 0.0000 0.0000 0.0000 x3  2 Pb 2.90
2 Ni 0.0000 0.0000 0.5000 x3  6 Pb 2.69
3 Pb 0.0000 0.0000 0.1035 x6  3 Ni 2.69, 1 Ga 2.90

Values from the calculation:
Spin magnetization in μB per formula unit: 0.0
Final energy in eV per cell: -45.6

=====

(7)
Entry from Alexandria: an optimized crystal structure of Nd3InIr (GGA-PBE).

Cell lengths 15.3510, 4.4854, 10.3830 Å; angles 90.00, 122.46, 90.00 degrees
Last column: nearest neighbours and their distance in Å.
Space group C2/m (No. 12)
Unique sites:
1 Nd 0.0966 0.0000 0.4496 x4  3 Ir 2.85-2.90
2 Nd 0.1385 0.5000 0.2147 x4  2 Ir 2.98
3 Nd 0.1648 0.5000 0.8052 x4  1 Ir 2.91
4 In 0.0732 0.0000 0.9322 x4  1 In 3.23, 8 Nd 3.28-3.55
5 Ir 0.2296 0.5000 0.5883 x4  6 Nd 2.85-2.98, 2 Ir 3.16

Values from the calculation:
Spin magnetization in μB per formula unit: 0.0
ΔE to the lowest computed polymorph in kJ/mol of formula units: 12

=====

(8)
Entry from Alexandria: an optimized crystal structure of NaTiAl2B (GGA-PBE).

Cell lengths 4.7014, 4.7014, 4.2478 Å; angles 90.00, 90.00, 90.00 degrees
Last column: nearest neighbours and their distance in Å.
Space group P4/mmm (No. 123)
Unique sites:
1 Na 0.0000 0.0000 0.0000 x1  2 B 2.12, 4 Al 2.35
2 Ti 0.5000 0.5000 0.5000 x1  8 Al 3.17, 4 B 3.32
3 Al 0.0000 0.5000 0.0000 x2  2 Na 2.35
4 B 0.0000 0.0000 0.5000 x1  2 Na 2.12

Values from the calculation:
Spin magnetization in μB per formula unit: 0.0
Final energy in eV per cell: -15.1

=====

- What is the spin magnetization in the eighth record?
  0.0 μB per formula unit